A.
TiAsHSe2: optimized geometry, PBE.

abc: 4.808 4.808 3.425
angles: 90.00 90.00 90.00
Sites, in units of the cell vectors:
As: 0.000 0.000 0.500
Se: 0.500 0.000 0.000
Se: 0.000 0.500 0.000
Ti: 0.500 0.500 0.500
H: 0.000 0.000 0.000

- ρ (g/cm³) = 5.91
- calculated volume (Å³ per atom) = 15.838



B.
TiAsHSe2: optimized geometry, PBE.

abc: 4.929 4.929 4.924
angles: 90.00 90.00 90.00
Last column: magnetic moment on the atom in μB.
Sites, in units of the cell vectors:
H: 0.500 0.500 0.500  0.36
Se: 0.000 0.500 0.000  0.01
Se: 0.500 0.000 0.000  0.01
As: 0.000 0.000 0.500  -0.11
Ti: 0.000 0.000 0.000  0.06

- ρ (g/cm³) = 3.91
- calculated volume (Å³ per atom) = 23.931



Most stable: A. Least stable: B.



A.
As2HWSe: optimized geometry, PBE.

abc: 4.926 4.926 4.896
angles: 90.00 90.00 90.00
Last column: magnetic moment on the atom in μB.
Sites, in units of the cell vectors:
As: 0.000 0.500 0.000  -0.04
As: 0.500 0.000 0.000  -0.04
Se: 0.000 0.000 0.500  0.02
H: 0.500 0.500 0.500  0.34
W: 0.000 0.000 0.000  0.03

- ρ (g/cm³) = 5.78
- calculated volume (Å³ per atom) = 23.764



B.
As2HWSe: optimized geometry, PBE.

abc: 3.910 3.910 4.993
angles: 90.00 90.00 90.00
Last column: magnetic moment on the atom in μB.
Sites, in units of the cell vectors:
W: 0.500 0.500 0.500  1.28
As: 0.000 0.500 0.000  -0.04
As: 0.500 0.000 0.000  -0.04
Se: 0.000 0.000 0.500  -0.04
H: 0.000 0.000 0.000  -0.01

- ρ (g/cm³) = 9.00
- calculated volume (Å³ per atom) = 15.270



Most stable: A. Least stable: B.



A.
YAs2HSe: optimized geometry, PBE.

abc: 5.532 5.532 5.448
angles: 90.00 90.00 90.00
Last column: magnetic moment on the atom in μB.
Sites, in units of the cell vectors:
H: 0.500 0.500 0.500  0.37
As: 0.000 0.500 0.000  0.08
As: 0.500 0.000 0.000  0.08
Y: 0.000 0.000 0.000  0.01
Se: 0.000 0.000 0.500  0.07

- ρ (g/cm³) = 3.17
- calculated volume (Å³ per atom) = 33.348



B.
YAs2HSe: optimized geometry, PBE.

abc: 4.022 4.022 5.707
angles: 90.00 90.00 90.00
Sites, in units of the cell vectors:
As: 0.000 0.500 0.000
As: 0.500 0.000 0.000
Se: 0.000 0.000 0.500
H: 0.000 0.000 0.000
Y: 0.500 0.500 0.500

- ρ (g/cm³) = 5.73
- calculated volume (Å³ per atom) = 18.466



Most stable: B. Least stable: A.



A.
YAsHSe2: optimized geometry, PBE.

abc: 5.007 5.007 3.616
angles: 90.00 90.00 90.00
Sites, in units of the cell vectors:
Se: 0.500 0.000 0.000
Se: 0.000 0.500 0.000
As: 0.000 0.000 0.500
Y: 0.500 0.500 0.500
H: 0.000 0.000 0.000

- ρ (g/cm³) = 5.91
- calculated volume (Å³ per atom) = 18.130



B.
YAsHSe2: optimized geometry, PBE.

abc: 5.496 5.496 5.678
angles: 90.00 90.00 90.00
Last column: magnetic moment on the atom in μB.
Sites, in units of the cell vectors:
Se: 0.000 0.500 0.000  -0.08
Se: 0.500 0.000 0.000  -0.08
As: 0.000 0.000 0.500  0.51
H: 0.500 0.500 0.500  0.38
Y: 0.000 0.000 0.000  0.01

- ρ (g/cm³) = 3.12
- calculated volume (Å³ per atom) = 34.301



Most stable: A. Least stable: B.



A.
ZnAs2HSe: optimized geometry, PBE.

abc: 3.826 6.217 3.826
angles: 90.00 90.00 90.00
Sites, in units of the cell vectors:
As: 0.500 0.000 0.000
As: 0.000 0.000 0.500
H: 0.000 0.000 0.000
Zn: 0.500 0.500 0.500
Se: 0.000 0.500 0.000

- ρ (g/cm³) = 5.39
- calculated volume (Å³ per atom) = 18.200



B.
ZnAs2HSe: optimized geometry, PBE.

abc: 4.858 4.858 5.027
angles: 90.00 90.00 90.00
Last column: magnetic moment on the atom in μB.
Sites, in units of the cell vectors:
Se: 0.000 0.000 0.500  0.05
Zn: 0.000 0.000 0.000  0.02
H: 0.500 0.500 0.500  0.36
As: 0.500 0.000 0.000  0.01
As: 0.000 0.500 0.000  0.01

- ρ (g/cm³) = 4.13
- calculated volume (Å³ per atom) = 23.726



Most stable: A. Least stable: B.



A.
SiAsH3: optimized geometry, PBE.

abc: 3.693 3.693 3.693
angles: 90.00 90.00 90.00
Sites, in units of the cell vectors:
H: 0.000 0.000 0.500
H: 0.500 0.000 0.000
H: 0.000 0.500 0.000
As: 0.000 0.000 0.000
Si: 0.500 0.500 0.500

- ρ (g/cm³) = 3.49
- calculated volume (Å³ per atom) = 10.076



B.
SiAsH3: optimized geometry, PBE.

abc: 3.862 6.104 9.280
angles: 44.50 89.92 89.90
Sites, in units of the cell vectors:
H: 0.409 0.886 0.690
H: 0.912 0.467 0.212
H: 0.426 0.930 0.403
H: 0.401 0.553 0.316
H: 0.900 0.799 0.586
H: 0.926 0.423 0.498
As: 0.358 0.200 0.850
As: 0.857 0.153 0.052
Si: 0.283 0.753 0.613
Si: 0.784 0.600 0.289

- ρ (g/cm³) = 2.30
- calculated volume (Å³ per atom) = 15.336



C.
SiAsH3: optimized geometry, PBE.

abc: 3.570 3.570 3.570
angles: 90.00 90.00 90.00
Sites, in units of the cell vectors:
Si: 0.000 0.000 0.000
H: 0.000 0.000 0.500
H: 0.500 0.000 0.000
H: 0.000 0.500 0.000
As: 0.500 0.500 0.500

- ρ (g/cm³) = 3.87
- calculated volume (Å³ per atom) = 9.100



Most stable: B. Least stable: A.



A.
SiAs3H: optimized geometry, PBE.

abc: 4.274 4.274 4.274
angles: 90.00 90.00 90.00
Sites, in units of the cell vectors:
Si: 0.500 0.500 0.500
H: 0.000 0.000 0.000
As: 0.000 0.500 0.000
As: 0.000 0.000 0.500
As: 0.500 0.000 0.000

- ρ (g/cm³) = 5.40
- calculated volume (Å³ per atom) = 15.619



B.
SiAs3H: optimized geometry, PBE.

abc: 4.791 4.791 4.791
angles: 90.00 90.00 90.00
Last column: magnetic moment on the atom in μB.
Sites, in units of the cell vectors:
As: 0.000 0.500 0.000  0.00
As: 0.000 0.000 0.500  -0.02
As: 0.500 0.000 0.000  0.01
H: 0.500 0.500 0.500  0.30
Si: 0.000 0.000 0.000  -0.01

- ρ (g/cm³) = 3.83
- calculated volume (Å³ per atom) = 21.997



Most stable: A. Least stable: B.



A.
Sn3AsH: optimized geometry, PBE.

abc: 4.744 4.744 4.744
angles: 90.00 90.00 90.00
Sites, in units of the cell vectors:
As: 0.500 0.500 0.500
Sn: 0.000 0.000 0.500
Sn: 0.000 0.500 0.000
Sn: 0.500 0.000 0.000
H: 0.000 0.000 0.000

- ρ (g/cm³) = 6.72
- calculated volume (Å³ per atom) = 21.356



B.
Sn3AsH: optimized geometry, PBE.

abc: 5.512 5.512 5.512
angles: 90.00 90.00 90.00
Last column: magnetic moment on the atom in μB.
Sites, in units of the cell vectors:
Sn: 0.000 0.500 0.000  0.00
Sn: 0.000 0.000 0.500  -0.01
Sn: 0.500 0.000 0.000  0.01
H: 0.500 0.500 0.500  0.16
As: 0.000 0.000 0.000  -0.03

- ρ (g/cm³) = 4.28
- calculated volume (Å³ per atom) = 33.492



Most stable: A. Least stable: B.



A.
SnAsH2: optimized geometry, PBE.

abc: 4.169 4.169 4.169
angles: 60.00 60.00 60.00
Sites, in units of the cell vectors:
As: 0.000 0.000 0.000
H: 0.250 0.250 0.250
H: 0.750 0.750 0.750
Sn: 0.500 0.500 0.500

- ρ (g/cm³) = 6.34
- calculated volume (Å³ per atom) = 12.813



B.
SnAsH2: optimized geometry, PBE.

abc: 4.460 4.460 6.631
angles: 70.35 70.35 90.00
Sites, in units of the cell vectors:
H: 0.375 0.589 0.750
H: 0.411 0.125 0.250
H: 0.339 0.625 0.250
H: 0.875 0.661 0.750
As: 0.500 0.500 0.000
As: 0.250 0.750 0.500
Sn: 0.750 0.250 0.500
Sn: 0.000 0.000 0.000

- ρ (g/cm³) = 5.60
- calculated volume (Å³ per atom) = 14.504



Most stable: B. Least stable: A.



A.
SnAsH: optimized geometry, PBE.

abc: 4.084 4.085 10.972
angles: 87.89 87.78 60.04
Sites, in units of the cell vectors:
Sn: 0.992 0.993 0.130
Sn: 0.008 0.007 0.870
H: 0.046 0.051 0.484
H: 0.954 0.949 0.516
As: 0.683 0.681 0.757
As: 0.317 0.319 0.243

- ρ (g/cm³) = 4.08
- calculated volume (Å³ per atom) = 26.407



B.
SnAsH: optimized geometry, PBE.

abc: 4.116 5.840 7.158
angles: 78.02 73.33 110.66
Sites, in units of the cell vectors:
As: 0.089 0.591 0.045
As: 0.391 0.078 0.929
H: 0.925 0.828 0.608
H: 0.554 0.841 0.365
Sn: 0.036 0.111 0.671
Sn: 0.444 0.558 0.302

- ρ (g/cm³) = 4.46
- calculated volume (Å³ per atom) = 24.131



C.
SnAsH: optimized geometry, PBE.

abc: 3.997 5.739 9.348
angles: 72.46 74.15 44.49
Sites, in units of the cell vectors:
As: 0.051 0.316 0.313
As: 0.949 0.684 0.687
Sn: 0.034 0.794 0.375
Sn: 0.966 0.206 0.625
H: 0.129 0.940 0.984
H: 0.871 0.060 0.016

- ρ (g/cm³) = 4.53
- calculated volume (Å³ per atom) = 23.792



Most stable: A. Least stable: B.



A.
SnAsH: optimized geometry, PBE.

abc: 4.109 4.109 4.420
angles: 117.69 117.69 90.00
Sites, in units of the cell vectors:
H: 0.962 0.962 0.925
Sn: 0.666 0.666 0.332
As: 0.222 0.222 0.443

- ρ (g/cm³) = 5.75
- calculated volume (Å³ per atom) = 18.748



B.
SnAsH: optimized geometry, PBE.

abc: 4.056 3.816 3.816
angles: 120.00 90.00 90.00
Sites, in units of the cell vectors:
H: 0.834 0.000 0.000
Sn: 0.333 0.667 0.333
As: 0.834 0.333 0.667

- ρ (g/cm³) = 6.32
- calculated volume (Å³ per atom) = 17.050



Most stable: A. Least stable: B.



A.
SnAsH3: optimized geometry, PBE.

abc: 3.959 3.959 3.959
angles: 90.00 90.00 90.00
Sites, in units of the cell vectors:
H: 0.000 0.000 0.500
H: 0.500 0.000 0.000
H: 0.000 0.500 0.000
As: 0.500 0.500 0.500
Sn: 0.000 0.000 0.000

- ρ (g/cm³) = 5.26
- calculated volume (Å³ per atom) = 12.413



B.
SnAsH3: optimized geometry, PBE.

abc: 3.879 3.879 3.879
angles: 90.00 90.00 90.00
Sites, in units of the cell vectors:
H: 0.000 0.500 0.000
H: 0.500 0.000 0.000
H: 0.000 0.000 0.500
Sn: 0.500 0.500 0.500
As: 0.000 0.000 0.000

- ρ (g/cm³) = 5.59
- calculated volume (Å³ per atom) = 11.675



Most stable: B. Least stable: A.